Record 1
VASP calculation (PBE-GGA) on a relaxed structure of DyBe2ZnPd5.

## Properties
E_tot = -4.9230 eV/atom
size of the total moment = 0.0000 μB per atom
formation energy = -557 meV per atom
density of states at the Fermi level = 0.377 states/eV per atom

Unit cell a=4.3928 b=4.3928 c=7.0194 alpha=90.00 beta=90.00 gamma=90.00
Atoms (fractional coordinates):
Dy (0.0000, 0.0000, 0.0000)
Be (0.5000, 0.5000, 0.3397)
Be (0.5000, 0.5000, 0.6603)
Zn (0.0000, 0.0000, 0.5000)
Pd (0.0000, 0.5000, 0.2852)
Pd (0.0000, 0.5000, 0.7148)
Pd (0.5000, 0.0000, 0.2852)
Pd (0.5000, 0.0000, 0.7148)
Pd (0.5000, 0.5000, 0.0000)

=====

Record 2
VASP calculation (PBE-GGA) on a relaxed structure of Tb5Ga2Te2.

## Properties
E_tot = -4.8653 eV/atom
size of the total moment = 0.0057 μB per atom
density of states at the Fermi level = 1.260 states/eV per atom

Unit cell a=8.6684 b=8.6684 c=7.9426 alpha=90.00 beta=90.00 gamma=54.28
Atoms (fractional coordinates):
Tb (0.0000, 0.0000, 0.0000)
Tb (0.0401, 0.7030, 0.6685)
Tb (0.2030, 0.5401, 0.1685)
Tb (0.2970, 0.9599, 0.6685)
Tb (0.4599, 0.7970, 0.1685)
Tb (0.5000, 0.5000, 0.5000)
Tb (0.5401, 0.2030, 0.8315)
Tb (0.7030, 0.0401, 0.3315)
Tb (0.7970, 0.4599, 0.8315)
Tb (0.9599, 0.2970, 0.3315)
Ga (0.1261, 0.8739, 0.3760)
Ga (0.3739, 0.6261, 0.8760)
Ga (0.6261, 0.3739, 0.1240)
Ga (0.8739, 0.1261, 0.6240)
Te (0.2049, 0.2049, 0.0000)
Te (0.2951, 0.2951, 0.5000)
Te (0.7049, 0.7049, 0.5000)
Te (0.7951, 0.7951, 0.0000)

=====

Record 3
VASP calculation (PBE-GGA) on a relaxed structure of Pr6Sm16Er7.

## Properties
E_tot = -4.4831 eV/atom
size of the total moment = 0.0000 μB per atom
formation energy = 211 meV per atom
density of states at the Fermi level = 1.570 states/eV per atom

Unit cell a=11.3046 b=11.3046 c=11.3046 alpha=60.00 beta=60.00 gamma=60.00
Atoms (fractional coordinates):
Pr (0.2263, 0.2263, 0.7737)
Pr (0.2263, 0.7737, 0.2263)
Pr (0.2263, 0.7737, 0.7737)
Pr (0.7737, 0.2263, 0.2263)
Pr (0.7737, 0.2263, 0.7737)
Pr (0.7737, 0.7737, 0.2263)
Sm (0.1223, 0.6259, 0.6259)
Sm (0.1515, 0.1515, 0.1515)
Sm (0.1515, 0.1515, 0.5456)
Sm (0.1515, 0.5456, 0.1515)
Sm (0.3741, 0.3741, 0.3741)
Sm (0.3741, 0.3741, 0.8777)
Sm (0.3741, 0.8777, 0.3741)
Sm (0.4544, 0.8485, 0.8485)
Sm (0.5456, 0.1515, 0.1515)
Sm (0.6259, 0.1223, 0.6259)
Sm (0.6259, 0.6259, 0.1223)
Sm (0.6259, 0.6259, 0.6259)
Sm (0.8485, 0.4544, 0.8485)
Sm (0.8485, 0.8485, 0.4544)
Sm (0.8485, 0.8485, 0.8485)
Sm (0.8777, 0.3741, 0.3741)
Er (0.0000, 0.0000, 0.5000)
Er (0.0000, 0.5000, 0.0000)
Er (0.0000, 0.5000, 0.5000)
Er (0.5000, 0.0000, 0.0000)
Er (0.5000, 0.0000, 0.5000)
Er (0.5000, 0.5000, 0.0000)
Er (0.5000, 0.5000, 0.5000)

=====

Q: The highest E_tot belongs to which entry?
A: Pr6Sm16Er7